The following is a PBE calculation of a relaxed structure of BaLiMg2Pt, from Alexandria.

Values from the calculation:
Crystal system: tetragonal
Space group: P4/mmm

abc: 5.132 5.132 5.201
angles: 90.00 90.00 90.00
Element x y z (fractional)
Mg (0.000, 0.500, 0.000)
Mg (0.500, 0.000, 0.000)
Ba (0.500, 0.500, 0.500)
Pt (0.000, 0.000, 0.000)
Li (0.000, 0.000, 0.500)

The following is a PBE calculation of a relaxed structure of LaTlAu, from Alexandria.

Values from the calculation:
Crystal system: orthorhombic
Space group: Pmma

abc: 4.105 8.152 14.490
angles: 90.00 90.00 90.00
Element x y z (fractional)
La (0.000, 0.236, 0.948)
La (0.000, 0.764, 0.052)
La (0.000, 0.236, 0.552)
La (0.000, 0.764, 0.448)
La (0.000, 0.161, 0.250)
La (0.000, 0.839, 0.750)
Au (0.500, 0.064, 0.092)
Au (0.500, 0.936, 0.908)
Au (0.500, 0.064, 0.408)
Au (0.500, 0.936, 0.592)
Au (0.000, 0.556, 0.250)
Au (0.000, 0.444, 0.750)
Tl (0.500, 0.434, 0.114)
Tl (0.500, 0.566, 0.886)
Tl (0.500, 0.434, 0.386)
Tl (0.500, 0.566, 0.614)
Tl (0.500, 0.819, 0.250)
Tl (0.500, 0.181, 0.750)

| no. | formation energy from the elements (eV per atom) |
| --- | --- |
| 1 | -0.367 |
| 2 | -0.604 |